{"formula": "Ac2Pm4PrHo", "functional": "PBE", "state": "relaxed", "e_form_kcal_per_mol_atoms": 8.9, "lattice": [[7.071, -6.887, 0.000], [7.071, 6.887, 0.000], [-3.636, 0.000, 6.182]], "species": ["Ac", "Ac", "Ac", "Ac", "Pm", "Pm", "Pm", "Pm", "Pm", "Pm", "Pm", "Pm", "Pr", "Pr", "Ho", "Ho"], "fractional_positions": [[0.000, 0.000, 0.000], [0.000, 0.000, 0.500], [0.000, 0.500, 0.000], [0.500, 0.000, 0.500], [0.258, 0.274, 0.517], [0.263, 0.737, 0.515], [0.263, 0.737, 0.985], [0.274, 0.258, 0.017], [0.726, 0.742, 0.983], [0.737, 0.263, 0.015], [0.737, 0.263, 0.485], [0.742, 0.726, 0.483], [0.000, 0.500, 0.500], [0.500, 0.000, 0.000], [0.500, 0.500, 0.000], [0.500, 0.500, 0.500]]}


{"formula": "AcPm5PrHo2", "functional": "PBE", "state": "relaxed", "e_form_kcal_per_mol_atoms": 3.4, "lattice": [[2.814, -12.087, 0.000], [2.814, 12.087, 0.000], [0.000, 0.000, 9.546]], "species": ["Ac", "Ac", "Pm", "Pm", "Pm", "Pm", "Pm", "Pm", "Pm", "Pm", "Pm", "Pm", "Pr", "Pr", "Ho", "Ho", "Ho", "Ho"], "fractional_positions": [[0.102, 0.898, 0.500], [0.898, 0.102, 0.000], [0.025, 0.975, 0.826], [0.103, 0.897, 0.107], [0.188, 0.812, 0.802], [0.241, 0.759, 0.432], [0.493, 0.507, 0.606], [0.507, 0.493, 0.106], [0.759, 0.241, 0.932], [0.812, 0.188, 0.302], [0.897, 0.103, 0.607], [0.975, 0.025, 0.326], [0.264, 0.736, 0.109], [0.736, 0.264, 0.609], [0.329, 0.671, 0.745], [0.388, 0.612, 0.365], [0.612, 0.388, 0.865], [0.671, 0.329, 0.245]]}


{"formula": "Ac2PmPr5Ho", "functional": "PBE", "state": "relaxed", "e_form_kcal_per_mol_atoms": 2.9, "lattice": [[2.938, -10.487, 0.000], [2.938, 10.487, 0.000], [0.000, 0.000, 11.067]], "species": ["Ac", "Ac", "Ac", "Ac", "Pm", "Pm", "Pr", "Pr", "Pr", "Pr", "Pr", "Pr", "Pr", "Pr", "Pr", "Pr", "Ho", "Ho"], "fractional_positions": [[0.112, 0.888, 0.500], [0.118, 0.882, 0.085], [0.882, 0.118, 0.585], [0.888, 0.112, 0.000], [0.206, 0.794, 0.773], [0.794, 0.206, 0.273], [0.019, 0.981, 0.789], [0.282, 0.718, 0.074], [0.295, 0.705, 0.465], [0.392, 0.608, 0.790], [0.482, 0.518, 0.510], [0.518, 0.482, 0.010], [0.608, 0.392, 0.290], [0.705, 0.295, 0.965], [0.718, 0.282, 0.574], [0.981, 0.019, 0.289], [0.408, 0.592, 0.233], [0.592, 0.408, 0.733]]}


{"formula": "AcPmPr2Ho", "functional": "PBE", "state": "relaxed", "e_form_kcal_per_mol_atoms": 7.8, "lattice": [[4.190, -6.147, 0.000], [4.190, 6.147, 0.000], [0.000, 0.000, 7.462]], "species": ["Ac", "Ac", "Pm", "Pm", "Pr", "Pr", "Pr", "Pr", "Ho", "Ho"], "fractional_positions": [[0.242, 0.758, 0.750], [0.758, 0.242, 0.250], [0.058, 0.942, 0.250], [0.942, 0.058, 0.750], [0.303, 0.303, 0.000], [0.303, 0.303, 0.500], [0.697, 0.697, 0.000], [0.697, 0.697, 0.500], [0.307, 0.693, 0.250], [0.693, 0.307, 0.750]]}


{"formula": "AcPm4PrHo2", "functional": "PBE", "state": "relaxed", "e_form_kcal_per_mol_atoms": 0.7, "lattice": [[5.174, 0.000, 0.000], [0.000, 5.200, 0.000], [-0.017, 0.000, 10.387]], "species": ["Ac", "Pm", "Pm", "Pm", "Pm", "Pr", "Ho", "Ho"], "fractional_positions": [[0.000, 0.000, 0.000], [0.000, 0.500, 0.255], [0.000, 0.500, 0.745], [0.500, 0.000, 0.256], [0.500, 0.000, 0.744], [0.500, 0.500, 0.500], [0.000, 0.000, 0.500], [0.500, 0.500, 0.000]]}


{"formula": "Ac5PmPr2Ho", "functional": "PBE", "state": "relaxed", "e_form_kcal_per_mol_atoms": 6.5, "lattice": [[-4.251, 4.251, 10.305], [4.251, -4.251, 10.305], [4.251, 4.251, -10.305]], "species": ["Ac", "Ac", "Ac", "Ac", "Ac", "Ac", "Ac", "Ac", "Ac", "Ac", "Pm", "Pm", "Pr", "Pr", "Pr", "Pr", "Ho", "Ho"], "fractional_positions": [[0.000, 0.000, 0.000], [0.087, 0.587, 0.951], [0.136, 0.087, 0.500], [0.364, 0.864, 0.951], [0.413, 0.364, 0.500], [0.500, 0.500, 0.000], [0.587, 0.636, 0.500], [0.636, 0.136, 0.049], [0.864, 0.913, 0.500], [0.913, 0.413, 0.049], [0.250, 0.250, 0.000], [0.750, 0.750, 0.000], [0.122, 0.378, 0.500], [0.378, 0.878, 0.255], [0.622, 0.122, 0.745], [0.878, 0.622, 0.500], [0.250, 0.750, 0.500], [0.750, 0.250, 0.500]]}


{"formula": "AcPm2PrHo4", "functional": "PBE", "state": "relaxed", "e_form_kcal_per_mol_atoms": 9.7, "lattice": [[-3.464, 6.005, 6.734], [3.464, -6.005, 6.734], [3.464, 6.005, -6.734]], "species": ["Ac", "Ac", "Pm", "Pm", "Pm", "Pm", "Pr", "Pr", "Ho", "Ho", "Ho", "Ho", "Ho", "Ho", "Ho", "Ho"], "fractional_positions": [[0.000, 0.000, 0.000], [0.500, 0.000, 0.500], [0.000, 0.500, 0.500], [0.500, 0.000, 0.000], [0.500, 0.500, 0.000], [0.500, 0.500, 0.500], [0.000, 0.000, 0.500], [0.000, 0.500, 0.000], [0.244, 0.742, 0.502], [0.252, 0.264, 0.513], [0.252, 0.739, 0.987], [0.260, 0.258, 0.002], [0.740, 0.742, 0.998], [0.748, 0.261, 0.013], [0.748, 0.736, 0.487], [0.756, 0.258, 0.498]]}


{"formula": "Ac2Pm2Pr4Ho", "functional": "PBE", "state": "relaxed", "e_form_kcal_per_mol_atoms": 0.8, "lattice": [[9.735, -1.887, 0.000], [9.735, 1.887, 0.000], [-4.367, 0.000, 9.112]], "species": ["Ac", "Ac", "Pm", "Pm", "Pr", "Pr", "Pr", "Pr", "Ho"], "fractional_positions": [[0.146, 0.146, 0.169], [0.854, 0.854, 0.831], [0.336, 0.336, 0.496], [0.664, 0.664, 0.504], [0.183, 0.183, 0.828], [0.483, 0.483, 0.182], [0.517, 0.517, 0.818], [0.817, 0.817, 0.172], [0.000, 0.000, 0.500]]}


{"formula": "AcPm2Pr5Ho", "functional": "PBE", "state": "relaxed", "e_form_kcal_per_mol_atoms": 5.9, "lattice": [[-4.560, 4.560, 7.932], [4.560, -4.560, 7.932], [4.560, 4.560, -7.932]], "species": ["Ac", "Ac", "Pm", "Pm", "Pm", "Pm", "Pr", "Pr", "Pr", "Pr", "Pr", "Pr", "Pr", "Pr", "Pr", "Pr", "Ho", "Ho"], "fractional_positions": [[0.250, 0.250, 0.000], [0.750, 0.750, 0.000], [0.115, 0.615, 0.731], [0.385, 0.115, 0.500], [0.615, 0.885, 0.500], [0.885, 0.385, 0.269], [0.000, 0.000, 0.000], [0.071, 0.163, 0.500], [0.163, 0.663, 0.092], [0.337, 0.429, 0.500], [0.429, 0.929, 0.092], [0.500, 0.500, 0.000], [0.571, 0.071, 0.908], [0.663, 0.571, 0.500], [0.837, 0.337, 0.908], [0.929, 0.837, 0.500], [0.250, 0.750, 0.500], [0.750, 0.250, 0.500]]}


{"formula": "AcPm4Pr2Ho", "functional": "PBE", "state": "relaxed", "e_form_kcal_per_mol_atoms": 8.8, "lattice": [[6.987, -6.813, 0.000], [6.987, 6.813, 0.000], [-3.530, 0.000, 6.098]], "species": ["Ac", "Ac", "Pm", "Pm", "Pm", "Pm", "Pm", "Pm", "Pm", "Pm", "Pr", "Pr", "Pr", "Pr", "Ho", "Ho"], "fractional_positions": [[0.000, 0.500, 0.000], [0.500, 0.000, 0.500], [0.237, 0.252, 0.476], [0.243, 0.756, 0.514], [0.244, 0.757, 0.986], [0.252, 0.237, 0.976], [0.748, 0.763, 0.024], [0.756, 0.243, 0.014], [0.757, 0.244, 0.486], [0.763, 0.748, 0.524], [0.000, 0.500, 0.500], [0.500, 0.000, 0.000], [0.500, 0.500, 0.000], [0.500, 0.500, 0.500], [0.000, 0.000, 0.000], [0.000, 0.000, 0.500]]}


{"formula": "Ac2Pm4Pr2Ho", "functional": "PBE", "state": "relaxed", "e_form_kcal_per_mol_atoms": 0.7, "lattice": [[9.707, -1.886, 0.000], [9.707, 1.886, 0.000], [-4.367, 0.000, 9.040]], "species": ["Ac", "Ac", "Pm", "Pm", "Pm", "Pm", "Pr", "Pr", "Ho"], "fractional_positions": [[0.145, 0.145, 0.164], [0.855, 0.855, 0.836], [0.184, 0.184, 0.831], [0.481, 0.481, 0.182], [0.519, 0.519, 0.818], [0.816, 0.816, 0.169], [0.336, 0.336, 0.496], [0.664, 0.664, 0.504], [0.000, 0.000, 0.500]]}


{"formula": "AcPm2Pr6Ho", "functional": "PBE", "state": "relaxed", "e_form_kcal_per_mol_atoms": 2.6, "lattice": [[4.723, -7.867, 0.000], [4.723, 7.867, 0.000], [-1.083, 0.000, 9.842]], "species": ["Ac", "Ac", "Pm", "Pm", "Pm", "Pm", "Pr", "Pr", "Pr", "Pr", "Pr", "Pr", "Pr", "Pr", "Pr", "Pr", "Pr", "Pr", "Ho", "Ho"], "fractional_positions": [[0.023, 0.977, 0.750], [0.977, 0.023, 0.250], [0.201, 0.312, 0.546], [0.312, 0.201, 0.046], [0.688, 0.799, 0.954], [0.799, 0.688, 0.454], [0.011, 0.562, 0.688], [0.127, 0.751, 0.054], [0.249, 0.873, 0.446], [0.291, 0.503, 0.883], [0.438, 0.989, 0.812], [0.497, 0.709, 0.617], [0.503, 0.291, 0.383], [0.562, 0.011, 0.188], [0.709, 0.497, 0.117], [0.751, 0.127, 0.554], [0.873, 0.249, 0.946], [0.989, 0.438, 0.312], [0.411, 0.589, 0.250], [0.589, 0.411, 0.750]]}


{"formula": "AcPm5Pr2Ho", "functional": "PBE", "state": "relaxed", "e_form_kcal_per_mol_atoms": 5.8, "lattice": [[-4.498, 4.498, 7.989], [4.498, -4.498, 7.989], [4.498, 4.498, -7.989]], "species": ["Ac", "Ac", "Pm", "Pm", "Pm", "Pm", "Pm", "Pm", "Pm", "Pm", "Pm", "Pm", "Pr", "Pr", "Pr", "Pr", "Ho", "Ho"], "fractional_positions": [[0.250, 0.250, 0.000], [0.750, 0.750, 0.000], [0.000, 0.000, 0.000], [0.071, 0.571, 0.912], [0.159, 0.071, 0.500], [0.341, 0.841, 0.912], [0.429, 0.341, 0.500], [0.500, 0.500, 0.000], [0.571, 0.659, 0.500], [0.659, 0.159, 0.088], [0.841, 0.929, 0.500], [0.929, 0.429, 0.088], [0.118, 0.382, 0.500], [0.382, 0.882, 0.265], [0.618, 0.118, 0.735], [0.882, 0.618, 0.500], [0.250, 0.750, 0.500], [0.750, 0.250, 0.500]]}


{"formula": "AcPm2Pr2Ho2", "functional": "PBE", "state": "relaxed", "e_form_kcal_per_mol_atoms": 0.8, "lattice": [[11.642, 0.000, 0.000], [0.000, 5.195, 0.000], [-1.162, 0.000, 8.181]], "species": ["Ac", "Ac", "Pm", "Pm", "Pm", "Pm", "Pr", "Pr", "Pr", "Pr", "Ho", "Ho", "Ho", "Ho"], "fractional_positions": [[0.000, 0.000, 0.000], [0.500, 0.500, 0.000], [0.141, 0.000, 0.432], [0.359, 0.500, 0.568], [0.641, 0.500, 0.432], [0.859, 0.000, 0.568], [0.215, 0.500, 0.149], [0.285, 0.000, 0.851], [0.715, 0.000, 0.149], [0.785, 0.500, 0.851], [0.074, 0.500, 0.706], [0.426, 0.000, 0.294], [0.574, 0.000, 0.706], [0.926, 0.500, 0.294]]}


{"formula": "AcPmHoPu", "functional": "PBE", "state": "relaxed", "e_form_kcal_per_mol_atoms": 6.2, "lattice": [[8.220, 0.000, 0.000], [0.000, 8.220, 0.000], [0.000, 0.000, 8.220]], "species": ["Ac", "Ac", "Ac", "Ac", "Pm", "Pm", "Pm", "Pm", "Ho", "Ho", "Ho", "Ho", "Pu", "Pu", "Pu", "Pu"], "fractional_positions": [[0.000, 0.000, 0.000], [0.000, 0.500, 0.500], [0.500, 0.000, 0.500], [0.500, 0.500, 0.000], [0.250, 0.250, 0.250], [0.250, 0.750, 0.750], [0.750, 0.250, 0.750], [0.750, 0.750, 0.250], [0.250, 0.250, 0.750], [0.250, 0.750, 0.250], [0.750, 0.250, 0.250], [0.750, 0.750, 0.750], [0.000, 0.000, 0.500], [0.000, 0.500, 0.000], [0.500, 0.000, 0.000], [0.500, 0.500, 0.500]]}


{"formula": "Ac2PmHoS6", "functional": "PBE", "state": "relaxed", "e_form_raw_ev_per_atom": -2.097, "lattice": [[3.656, 2.111, 6.248], [-3.656, 2.111, 6.248], [0.000, -4.221, 6.248]], "species": ["Ac", "Ac", "Pm", "Ho", "S", "S", "S", "S", "S", "S"], "fractional_positions": [[0.000, 0.000, 0.000], [0.499, 0.499, 0.499], [0.214, 0.214, 0.214], [0.712, 0.712, 0.712], [0.071, 0.430, 0.842], [0.348, 0.920, 0.581], [0.430, 0.842, 0.071], [0.581, 0.348, 0.920], [0.842, 0.071, 0.430], [0.920, 0.581, 0.348]]}


{"formula": "AcPmHo2S4", "functional": "PBE", "state": "relaxed", "e_form_raw_ev_per_atom": -1.980, "lattice": [[6.882, 0.000, 0.000], [0.000, 3.951, 0.000], [-2.278, 0.000, 6.815]], "species": ["Ac", "Pm", "Ho", "Ho", "S", "S", "S", "S"], "fractional_positions": [[0.000, 0.000, 0.000], [0.500, 0.500, 0.000], [0.000, 0.500, 0.500], [0.500, 0.000, 0.500], [0.249, 0.000, 0.728], [0.266, 0.500, 0.277], [0.734, 0.500, 0.723], [0.751, 0.000, 0.272]]}


{"formula": "AcPm2HoS6", "functional": "PBE", "state": "relaxed", "e_form_raw_ev_per_atom": -2.052, "lattice": [[3.593, 2.074, 6.307], [-3.593, 2.074, 6.307], [0.000, -4.148, 6.307]], "species": ["Ac", "Pm", "Pm", "Ho", "S", "S", "S", "S", "S", "S"], "fractional_positions": [[0.000, 0.000, 0.000], [0.283, 0.283, 0.283], [0.790, 0.790, 0.790], [0.488, 0.488, 0.488], [0.092, 0.660, 0.417], [0.199, 0.586, 0.878], [0.417, 0.092, 0.660], [0.586, 0.878, 0.199], [0.660, 0.417, 0.092], [0.878, 0.199, 0.586]]}


{"formula": "Ac4Pm3HoS8", "functional": "PBE", "state": "relaxed", "e_form_raw_ev_per_atom": -1.998, "lattice": [[4.123, 2.380, 6.872], [-4.123, 2.380, 6.872], [0.000, -4.760, 6.872]], "species": ["Ac", "Ac", "Ac", "Ac", "Pm", "Pm", "Pm", "Ho", "S", "S", "S", "S", "S", "S", "S", "S"], "fractional_positions": [[0.000, 0.000, 0.000], [0.000, 0.500, 0.500], [0.500, 0.000, 0.500], [0.500, 0.500, 0.000], [0.000, 0.000, 0.500], [0.000, 0.500, 0.000], [0.500, 0.000, 0.000], [0.500, 0.500, 0.500], [0.244, 0.244, 0.244], [0.249, 0.738, 0.738], [0.262, 0.262, 0.751], [0.262, 0.751, 0.262], [0.738, 0.249, 0.738], [0.738, 0.738, 0.249], [0.751, 0.262, 0.262], [0.756, 0.756, 0.756]]}


{"formula": "AcPm2HoS4", "functional": "PBE", "state": "relaxed", "e_form_raw_ev_per_atom": -1.977, "lattice": [[6.999, 0.000, 0.000], [0.000, 4.016, 0.000], [-2.309, 0.000, 6.796]], "species": ["Ac", "Pm", "Pm", "Ho", "S", "S", "S", "S"], "fractional_positions": [[0.000, 0.000, 0.000], [0.500, 0.000, 0.500], [0.500, 0.500, 0.000], [0.000, 0.500, 0.500], [0.244, 0.000, 0.733], [0.256, 0.500, 0.268], [0.744, 0.500, 0.732], [0.756, 0.000, 0.267]]}